(1)
DFT (PBE) results for an optimized crystal structure of Zn24Au5.

Output
Energy relative to the elements, meV/atom: -8
DFT total energy, eV/atom: -1.627

abc: 9.6490 9.6490 9.6490
angles: 90.00 90.00 90.00
Closest atoms and distances in Å follow each position.
Space group I-43m (No. 217)
Unique sites:
Zn: 0.0490 0.3675 0.6325  7 Zn 2.60-2.78, 1 Au 2.71
Zn: 0.0959 0.0959 0.7151  8 Zn 2.58-2.78
Au: 0.0000 0.0000 0.0000  4 Au 2.97, 12 Zn 3.04
Au: 0.1775 0.1775 0.1775  9 Zn 2.71-2.94, 1 Au 2.97



(2)
DFT (PBE) results for an optimized crystal structure of Tb8Tm3Mg.

Output
Energy relative to the elements, meV/atom: 13
DFT total energy, eV/atom: -4.324

abc: 17.2503 3.6018 13.2725
angles: 90.00 115.57 90.00
Closest atoms and distances in Å follow each position.
Space group Cm (No. 8)
Unique sites:
Tb: 0.0000 0.0000 0.0000  2 Mg 3.35, 5 Tm 3.42-3.56, 5 Tb 3.55-3.60
Tb: 0.0175 0.0000 0.6494  10 Tb 3.46-3.64, 2 Tm 3.56
Tb: 0.1009 0.0000 0.4474  2 Mg 3.31, 9 Tb 3.48-3.60, 1 Tm 3.54
Tb: 0.2043 0.5000 0.6987  9 Tb 3.50-3.62, 3 Tm 3.52-3.54
Tb: 0.2277 0.0000 0.1618  2 Mg 3.38, 4 Tb 3.43-3.60, 5 Tm 3.58-3.65
Tb: 0.2849 0.5000 0.4883  10 Tb 3.42-3.64, 1 Mg 3.55
Tb: 0.3920 0.0000 0.7473  10 Tb 3.47-3.60, 2 Tm 3.55-3.64
Tb: 0.4147 0.0000 0.4041  2 Tm 3.37, 9 Tb 3.42-3.60
Tm: 0.1248 0.5000 0.9042  8 Tb 3.44-3.64, 4 Tm 3.47-3.60
Tm: 0.3089 0.0000 0.9496  6 Tm 3.42-3.60, 6 Tb 3.52-3.65
Tm: 0.4151 0.5000 0.1897  6 Tb 3.37-3.58, 2 Mg 3.39, 4 Tm 3.42-3.60
Mg: 0.0939 0.5000 0.2348  7 Tb 3.31-3.55, 2 Tm 3.39, 2 Mg 3.60